No. 1
VASP calculation (PBE) on a geometry-optimized Sm2Al3Pt12Au structure.

- formation energy from the elements (kcal/mol of atoms) = -9.4
- total magnetic moment (μB/f.u.) = 0.0
- raw total energy (eV for the cell shown) = -103.74

Structure (POSCAR):
```
Sm2Al3Pt12Au
1.0
7.719 -0.315 -0.223
3.538 6.867 -0.223
3.538 2.060 6.555
Pt Al Sm Au
12 3 2 1
Direct
0.366 0.366 0.895 Pt
0.390 0.856 0.856 Pt
0.366 0.895 0.366 Pt
0.610 0.144 0.144 Pt
0.144 0.610 0.144 Pt
0.895 0.366 0.366 Pt
0.105 0.634 0.634 Pt
0.144 0.144 0.610 Pt
0.856 0.390 0.856 Pt
0.856 0.856 0.390 Pt
0.634 0.634 0.105 Pt
0.634 0.105 0.634 Pt
0.500 0.000 0.000 Al
0.000 0.000 0.500 Al
0.000 0.500 0.000 Al
0.608 0.608 0.608 Sm
0.392 0.392 0.392 Sm
0.000 0.000 0.000 Au
```



No. 2
VASP calculation (PBE) on a geometry-optimized CsZr2F8 structure.

- total magnetic moment (μB/f.u.) = 1.0
- raw total energy (eV for the cell shown) = -70.33
- energy relative to the elements, uncorrected (eV per formula unit) = -37.411

Structure (POSCAR):
```
CsZr2F8
1.0
-2.607 2.112 2.715
-4.767 -3.210 -2.742
2.996 -3.142 4.658
Cs F Zr
1 8 2
Direct
0.500 0.000 0.000 Cs
0.500 0.283 0.717 F
0.500 0.717 0.283 F
0.053 0.036 0.339 F
0.248 0.580 0.580 F
0.947 0.964 0.661 F
0.752 0.420 0.420 F
0.947 0.661 0.964 F
0.053 0.339 0.036 F
0.000 0.676 0.324 Zr
0.000 0.324 0.676 Zr
```



No. 3
VASP calculation (PBE) on a geometry-optimized TlCuF3 structure.

- total magnetic moment (μB/f.u.) = 1.0
- raw total energy (eV for the cell shown) = -19.73
- energy relative to the elements, uncorrected (eV per formula unit) = -7.649

Structure (POSCAR):
```
TlCuF3
1.0
-1.489 -1.886 -1.988
2.441 -4.211 2.167
-3.865 -0.734 3.592
F Cu Tl
3 1 1
Direct
0.000 0.193 0.807 F
0.500 0.667 0.655 F
0.500 0.345 0.333 F
0.000 0.478 0.522 Cu
0.500 0.944 0.056 Tl
```



No. 4
VASP calculation (PBE) on a geometry-optimized SrEuZnSn structure.

- formation energy from the elements (kcal/mol of atoms) = -11.5
- total magnetic moment (μB/f.u.) = 7.1
- raw total energy (eV for the cell shown) = -19.22

Structure (POSCAR):
```
SrEuZnSn
1.0
5.561 0.000 0.000
2.781 4.816 0.000
2.781 1.605 4.541
Zn Eu Sr Sn
1 1 1 1
Direct
0.750 0.750 0.750 Zn
0.000 0.000 0.000 Eu
0.500 0.500 0.500 Sr
0.250 0.250 0.250 Sn
```



No. 5
VASP calculation (PBE) on a geometry-optimized Ca2SnCl6 structure.

- total magnetic moment (μB/f.u.) = 0.0
- raw total energy (eV for the cell shown) = -36.33
- energy relative to the elements, uncorrected (eV per formula unit) = -17.244

Structure (POSCAR):
```
Ca2SnCl6
1.0
6.176 0.000 0.000
0.000 6.102 -3.523
0.000 0.000 7.046
Cl Sn Ca
6 1 2
Direct
0.743 0.000 0.344 Cl
0.743 0.656 0.656 Cl
0.257 0.344 0.344 Cl
0.257 0.000 0.656 Cl
0.257 0.656 0.000 Cl
0.743 0.344 0.000 Cl
0.000 0.000 0.000 Sn
0.500 0.667 0.333 Ca
0.500 0.333 0.667 Ca
```